Record 1
# GGA-PBEsol ScCd2Se, optimized geometry
# * formation energy without anion corrections: -540 meV/atom
data_ScCd2Se
_cell_length_a 9.467
_cell_length_b 3.589
_cell_length_c 5.427
_cell_angle_alpha 90.00
_cell_angle_beta 111.56
_cell_angle_gamma 90.00
_space_group_name_H-M_alt 'C 1 m 1'
_space_group_IT_number 8
_space_group_name_Hall 'C -2y'
loop_
_atom_site_label
_atom_site_fract_x
_atom_site_fract_y
_atom_site_fract_z
_atom_site_occupancy
Sc1 0.000 0.000 0.000 1
Cd1 0.044 0.500 0.558 1
Cd2 0.285 0.500 0.388 1
Se1 0.283 0.000 0.974 1


Record 2
# GGA-PBEsol TeP2Pt, optimized geometry
# * formation energy without anion corrections: -92 meV/atom
data_TeP2Pt
_cell_length_a 3.7079
_cell_length_b 3.7079
_cell_length_c 18.1824
_cell_angle_alpha 90.00
_cell_angle_beta 90.00
_cell_angle_gamma 120.00
_space_group_name_H-M_alt 'R -3 m'
_space_group_IT_number 166
_space_group_name_Hall '-R 3 2"'
loop_
_atom_site_label
_atom_site_fract_x
_atom_site_fract_y
_atom_site_fract_z
_atom_site_occupancy
Te1 0.0000 0.0000 0.0000 1
P1 0.0000 0.0000 0.2332 1
Pt1 0.0000 0.0000 0.5000 1


Record 3
# GGA-PBEsol HfPbC3, optimized geometry
# * DFT formation energy: 2874 meV per atom
data_HfPbC3
_cell_length_a 4.221
_cell_length_b 4.221
_cell_length_c 4.221
_cell_angle_alpha 90.00
_cell_angle_beta 90.00
_cell_angle_gamma 90.00
_space_group_name_H-M_alt 'P m -3 m'
_space_group_IT_number 221
_space_group_name_Hall '-P 4 2 3'
loop_
_atom_site_label
_atom_site_fract_x
_atom_site_fract_y
_atom_site_fract_z
_atom_site_occupancy
Hf1 0.000 0.000 0.000 1
Pb1 0.500 0.500 0.500 1
C1 0.000 0.500 0.500 1


Record 4
# GGA-PBEsol VGaFeCo, optimized geometry
# * DFT formation energy: -323 meV per atom
data_VGaFeCo
_cell_length_a 5.656
_cell_length_b 5.656
_cell_length_c 5.656
_cell_angle_alpha 90.00
_cell_angle_beta 90.00
_cell_angle_gamma 90.00
_space_group_name_H-M_alt 'F -4 3 m'
_space_group_IT_number 216
_space_group_name_Hall 'F -4 2 3'
loop_
_atom_site_label
_atom_site_fract_x
_atom_site_fract_y
_atom_site_fract_z
_atom_site_occupancy
V1 0.000 0.000 0.000 1
Ga1 0.000 0.000 0.500 1
Fe1 0.250 0.250 0.250 1
Co1 0.250 0.250 0.750 1